Y2InCu (PBE, relaxed); energy relative to the elements = -0.304 eV/atom; crystal system = orthorhombic
1.0
-1.260 2.316 3.766
-3.367 -1.715 -0.072
0.396 -5.090 3.263
Y Cu In
2 1 1
direct
0.000 0.970 0.935 Y
0.500 0.275 0.325 Y
0.000 0.701 0.473 Cu
0.500 0.554 0.767 In

Y2ReSb (PBE, relaxed); formation energy (no corrections) = -235 meV/atom; crystal system = orthorhombic
1.0
-2.003 -0.492 3.113
2.735 -2.028 1.439
5.486 3.570 4.095
Re Sb Y
1 1 2
direct
0.500 0.250 0.250 Re
0.500 0.750 0.750 Sb
0.000 0.983 0.017 Y
0.000 0.517 0.483 Y

Dy2CdPd (PBE, relaxed); offset from the most stable computed form = 0.000 eV per atom; energy relative to the elements = -0.606 eV/atom; crystal system = tetragonal
1.0
-3.077 1.851 -0.257
-1.076 -2.160 -2.671
-3.121 -4.506 4.900
Cd Pd Dy
1 1 2
direct
0.500 0.500 0.500 Cd
0.500 0.500 0.000 Pd
0.000 0.000 0.773 Dy
0.000 0.000 0.227 Dy

DyNi6B3 (PBE, relaxed); energy relative to the elements = -0.298 eV/atom; crystal system = trigonal
1.0
4.357 0.000 -2.335
-2.804 4.070 0.000
0.331 0.228 5.850
Dy Ni B
1 6 3
direct
0.930 0.965 0.895 Dy
0.288 0.396 0.672 Ni
0.169 0.632 0.254 Ni
0.717 0.085 0.254 Ni
0.276 0.891 0.672 Ni
0.781 0.385 0.672 Ni
0.622 0.537 0.254 Ni
0.647 0.323 0.970 B
0.314 0.657 0.971 B
0.257 0.128 0.385 B

Sc3CuB (PBE, relaxed); offset from the most stable computed form = 0.000 eV per atom; energy relative to the elements = -0.013 eV/atom; crystal system = cubic
1.0
-3.767 0.675 2.594
-2.547 -2.295 -3.102
0.835 -3.956 2.242
Sc B Cu
3 1 1
direct
0.000 0.500 0.000 Sc
0.000 0.000 0.500 Sc
0.500 0.000 0.000 Sc
0.000 0.000 0.000 B
0.500 0.500 0.500 Cu

NaTaBe2 (PBE, relaxed); offset from the most stable computed form = 0.000 eV per atom; energy relative to the elements = 0.801 eV/atom; crystal system = cubic
1.0
0.000 3.055 3.055
3.055 0.000 3.055
3.055 3.055 0.000
Na Be Ta
1 2 1
direct
0.000 0.000 0.000 Na
0.250 0.250 0.250 Be
0.750 0.750 0.750 Be
0.500 0.500 0.500 Ta

Al2PbBr (PBE, relaxed); formation energy (no corrections) = 261 meV/atom; offset from the most stable computed form = 0.344 eV per atom; crystal system = tetragonal
1.0
-3.175 -2.741 3.513
-3.298 -2.840 -3.317
5.467 0.204 -0.101
Pb Al Br
1 2 1
direct
0.750 0.250 0.500 Pb
0.000 0.000 0.000 Al
0.250 0.750 0.500 Al
0.500 0.500 0.000 Br

SnHPd2Au (PBE, relaxed); offset from the most stable computed form = 0.000 eV per atom; crystal system = tetragonal
1.0
-4.071 0.728 0.647
-0.308 -3.601 2.111
0.915 1.986 3.522
H Au Sn Pd
1 1 1 2
direct
0.000 0.000 0.000 H
0.000 0.000 0.500 Au
0.500 0.500 0.500 Sn
0.000 0.500 0.000 Pd
0.500 0.000 0.000 Pd

Tl3Cd5 (PBE, relaxed); offset from the most stable computed form = 0.000 eV per atom; energy relative to the elements = 0.029 eV/atom; crystal system = triclinic
1.0
9.664 -1.957 -0.376
-8.681 7.788 -0.337
-0.790 -3.717 7.866
Cd Tl
10 6
direct
0.293 0.662 0.540 Cd
0.706 0.338 0.460 Cd
0.897 0.158 0.877 Cd
0.102 0.842 0.123 Cd
0.192 0.836 0.456 Cd
0.807 0.164 0.544 Cd
0.548 0.316 0.769 Cd
0.451 0.684 0.231 Cd
0.924 0.177 0.225 Cd
0.075 0.823 0.775 Cd
0.557 0.631 0.876 Tl
0.442 0.369 0.124 Tl
0.196 0.166 0.408 Tl
0.804 0.834 0.592 Tl
0.232 0.677 0.910 Tl
0.767 0.323 0.090 Tl

TbCe2Pr3S6 (PBE, relaxed); formation energy (no corrections) = -2031 meV/atom; crystal system = monoclinic
1.0
-0.165 2.314 -6.615
-5.982 -1.304 3.414
1.947 5.912 3.262
Tb Ce Pr S
1 2 3 6
direct
0.000 0.000 0.000 Tb
0.334 0.666 0.000 Ce
0.666 0.334 0.000 Ce
0.167 0.833 0.500 Pr
0.833 0.167 0.500 Pr
0.500 0.500 0.500 Pr
0.920 0.591 0.760 S
0.751 0.751 0.241 S
0.080 0.409 0.240 S
0.591 0.920 0.760 S
0.249 0.249 0.759 S
0.409 0.080 0.240 S

La2Zn3FeNi12 (PBE, relaxed); energy relative to the elements = 0.106 eV/atom; crystal system = trigonal
1.0
8.939 1.673 1.187
5.869 6.947 1.187
5.869 3.416 6.164
La Zn Fe Ni
2 3 1 12
direct
0.657 0.657 0.657 La
0.343 0.343 0.343 La
0.500 0.000 0.000 Zn
0.000 0.500 0.000 Zn
0.000 0.000 0.500 Zn
0.000 0.000 0.000 Fe
0.422 0.422 0.812 Ni
0.933 0.933 0.345 Ni
0.345 0.933 0.933 Ni
0.812 0.422 0.422 Ni
0.933 0.345 0.933 Ni
0.422 0.812 0.422 Ni
0.578 0.578 0.188 Ni
0.067 0.067 0.655 Ni
0.655 0.067 0.067 Ni
0.188 0.578 0.578 Ni
0.067 0.655 0.067 Ni
0.578 0.188 0.578 Ni

K2HfNi (PBE, relaxed); offset from the most stable computed form = 0.668 eV per atom; energy relative to the elements = 1.611 eV/atom; crystal system = cubic
1.0
0.000 3.991 3.991
3.991 0.000 3.991
3.991 3.991 0.000
Ni K Hf
1 2 1
direct
0.000 0.000 0.000 Ni
0.250 0.250 0.250 K
0.750 0.750 0.750 K
0.500 0.500 0.500 Hf

Computed Fermi-level density of states (states/eV/atom) in order:
1.01, 0.76, 0.74, 0.51, 1.21, 0.39, 0.51, 0.59, 0.27, 1.05, 0.83, 1.91
Computed calculated density (g/cm3) in order:
5.92, 8.62, 9.48, 8.38, 3.52, 6.46, 5.68, 12.11, 9.05, 6.21, 7.50, 4.12